Here is a relaxed K3HgAs2 crystal from Alexandria. Energies are from GGA-PBE.

Lattice parameters (Å, degrees): 7.9965 13.6863 7.8551 90.00 90.00 90.00
Space group Ibam (No. 72)
One atom of each set of equivalent atoms:
K: 0.0000 0.0000 0.2500 x4
K: 0.1907 0.3214 0.0000 x8
Hg: 0.0000 0.5000 0.2500 x4
As: 0.1938 0.4141 0.5000 x8

ΔH_f (0 K) (eV/atom): -0.2651
Calculated volume (Å³/atom): 35.82

Here is a relaxed VCdNi crystal from Alexandria. Energies are from GGA-PBE.

Lattice parameters (Å, degrees): 8.9046 4.0851 5.3940 90.00 113.08 90.00
Space group C2/m (No. 12)
One atom of each set of equivalent atoms:
V: 0.0264 0.0000 0.3253 x4
Cd: 0.1729 0.5000 0.1029 x4
Ni: 0.1531 0.5000 0.5837 x4

ΔH_f (0 K) (eV/atom): 0.1371
Energy relative to the lowest polymorph listed for this composition (meV/atom): 34
Calculated volume (Å³/atom): 15.04

Here is a relaxed ZnPt2S4 crystal from Alexandria. Energies are from GGA-PBE.

Lattice parameters (Å, degrees): 12.5058 7.2425 7.2401 90.00 125.20 90.00
Space group C2/m (No. 12)
One atom of each set of equivalent atoms:
Zn: 0.1246 0.0000 0.3769 x4
Pt: 0.0000 0.5000 0.0000 x2
Pt: 0.0000 0.5000 0.5000 x2
Pt: 0.2500 0.2500 0.0000 x4
S: 0.0121 0.2736 0.7610 x8
S: 0.2381 0.5000 0.2133 x4
S: 0.2387 0.5000 0.7607 x4

Final energy (eV/atom): -4.576
Calculated volume (Å³/atom): 19.14

Here is a relaxed As2PdRhBr crystal from Alexandria. Energies are from GGA-PBE.

Lattice parameters (Å, degrees): 4.6995 4.6995 5.2642 90.00 90.00 90.00
Space group P4/mmm (No. 123)
One atom of each set of equivalent atoms:
As: 0.0000 0.5000 0.0000 x2
Pd: 0.0000 0.0000 0.5000 x1
Rh: 0.5000 0.5000 0.0000 x1
Br: 0.5000 0.5000 0.5000 x1

Energy relative to the lowest polymorph listed for this composition (meV/atom): 0
Calculated volume (Å³/atom): 23.25

Here is a relaxed AcHoTm crystal from Alexandria. Energies are from GGA-PBE.

Lattice parameters (Å, degrees): 13.1647 3.7737 8.8629 90.00 106.21 90.00
Space group C2/m (No. 12)
One atom of each set of equivalent atoms:
Ac: 0.1802 0.0000 0.1313 x4
Ho: 0.0348 0.5000 0.7713 x4
Tm: 0.1399 0.0000 0.5224 x4

ΔH_f (0 K) (eV/atom): 0.0560
Energy relative to the lowest polymorph listed for this composition (meV/atom): 0
Calculated volume (Å³/atom): 35.23

Here is a relaxed LiNbAgCl6 crystal from Alexandria. Energies are from GGA-PBE.

Lattice parameters (Å, degrees): 6.4236 6.4236 11.9818 90.00 90.00 120.00
Space group P-31c (No. 163)
One atom of each set of equivalent atoms:
Li: 0.3333 0.6667 0.2500 x2
Nb: 0.3333 0.6667 0.7500 x2
Ag: 0.0000 0.0000 0.0000 x2
Cl: 0.0151 0.3639 0.6329 x12

Final energy (eV/atom): -4.043
Calculated volume (Å³/atom): 23.79

Here is a relaxed Ac2CeRu2I2 crystal from Alexandria. Energies are from GGA-PBE.

Lattice parameters (Å, degrees): 5.0131 5.0131 18.1580 90.00 90.00 90.00
Space group I4/mmm (No. 139)
One atom of each set of equivalent atoms:
Ac: 0.0000 0.0000 0.1091 x4
Ce: 0.0000 0.0000 0.5000 x2
Ru: 0.0000 0.5000 0.0000 x4
I: 0.0000 0.0000 0.3113 x4

Final energy (eV/atom): -5.745
Calculated volume (Å³/atom): 32.60

Here is a relaxed SrPuCdSi crystal from Alexandria. Energies are from GGA-PBE.

Lattice parameters (Å, degrees): 7.5560 7.5560 7.5560 90.00 90.00 90.00
Space group F-43m (No. 216)
One atom of each set of equivalent atoms:
Sr: 0.0000 0.0000 0.0000 x4
Pu: 0.0000 0.0000 0.5000 x4
Cd: 0.2500 0.2500 0.7500 x4
Si: 0.2500 0.2500 0.2500 x4

Final energy (eV/atom): -5.695
Calculated volume (Å³/atom): 26.96

Here is a relaxed NaTaZn crystal from Alexandria. Energies are from GGA-PBE.

Lattice parameters (Å, degrees): 4.7623 4.7623 5.4875 90.00 90.00 120.00
Space group P6_3/mmc (No. 194)
One atom of each set of equivalent atoms:
Na: 0.0000 0.0000 0.0000 x2
Ta: 0.3333 0.6667 0.2500 x2
Zn: 0.3333 0.6667 0.7500 x2

ΔH_f (0 K) (eV/atom): 0.7660
Energy relative to the lowest polymorph listed for this composition (meV/atom): 629
Calculated volume (Å³/atom): 17.96

Here is a relaxed La3ReCl3O6 crystal from Alexandria. Energies are from GGA-PBE.

Lattice parameters (Å, degrees): 9.4971 9.4971 5.4620 90.00 90.00 120.00
Space group P6_3/m (No. 176)
One atom of each set of equivalent atoms:
La: 0.0916 0.4057 0.2500 x6
Re: 0.3333 0.6667 0.7500 x2
Cl: 0.0465 0.2409 0.7500 x6
O: 0.1628 0.6363 0.5219 x12

Final energy (eV/atom): -7.482
Calculated volume (Å³/atom): 16.41

Here is a relaxed Li2ReP crystal from Alexandria. Energies are from GGA-PBE.

Lattice parameters (Å, degrees): 3.1009 3.1009 5.6312 90.00 90.00 90.00
Space group P4mm (No. 99)
One atom of each set of equivalent atoms:
Li: 0.0000 0.0000 0.0000 x1
Li: 0.5000 0.5000 0.2521 x1
Re: 0.5000 0.5000 0.7213 x1
P: 0.0000 0.0000 0.5346 x1

ΔH_f (0 K) (eV/atom): -0.1993
Calculated volume (Å³/atom): 13.54

Here is a relaxed Li5TiN3 crystal from Alexandria. Energies are from GGA-PBE.

Lattice parameters (Å, degrees): 8.4499 8.4507 21.2930 97.61 97.57 109.39
Space group P1 (No. 1)
One atom of each set of equivalent atoms:
Li: 0.0000 0.0000 0.0000 x1
Li: 0.0003 0.2326 0.7498 x1
Li: 0.0221 0.4576 0.4978 x1
Li: 0.0222 0.9889 0.5084 x1
Li: 0.0243 0.2431 0.2396 x1
Li: 0.0331 0.7547 0.7629 x1
Li: 0.0387 0.7763 0.2471 x1
Li: 0.0452 0.4945 0.0042 x1
Li: 0.0798 0.3062 0.4176 x1
Li: 0.0893 0.0555 0.1694 x1
Li: 0.0960 0.1000 0.6606 x1
Li: 0.1260 0.8414 0.4267 x1
Li: 0.1664 0.6149 0.8265 x1
Li: 0.1694 0.6608 0.3340 x1
Li: 0.1715 0.3650 0.5754 x1
Li: 0.1760 0.1214 0.8189 x1
Li: 0.1837 0.3629 0.0797 x1
Li: 0.1894 0.9014 0.5903 x1
Li: 0.2356 0.9693 0.7298 x1
Li: 0.2446 0.2293 0.4893 x1
Li: 0.2609 0.7345 0.5006 x1
Li: 0.2681 0.4854 0.2573 x1
Li: 0.2738 0.1934 0.0041 x1
Li: 0.2802 0.4556 0.7599 x1
Li: 0.2885 0.9866 0.2343 x1
Li: 0.3058 0.7327 0.9926 x1
Li: 0.3287 0.5593 0.4147 x1
Li: 0.3452 0.3083 0.1730 x1
Li: 0.3449 0.3462 0.6671 x1
Li: 0.3574 0.5721 0.9048 x1
Li: 0.3676 0.0777 0.4265 x1
Li: 0.3733 0.1045 0.9148 x1
Li: 0.3854 0.8151 0.1680 x1
Li: 0.3935 0.8448 0.6720 x1
Li: 0.4046 0.6410 0.0811 x1
Li: 0.4374 0.3789 0.8444 x1
Li: 0.4551 0.1752 0.0889 x1
Li: 0.4549 0.4301 0.3342 x1
Li: 0.5047 0.6948 0.2434 x1
Li: 0.5185 0.9688 0.4951 x1
Li: 0.5191 0.4642 0.4853 x1
Li: 0.5259 0.2329 0.2574 x1
Li: 0.5294 0.6955 0.7430 x1
Li: 0.5387 0.0177 0.0045 x1
Li: 0.5707 0.5510 0.1523 x1
Li: 0.5869 0.2966 0.4065 x1
Li: 0.5946 0.0710 0.1651 x1
Li: 0.5996 0.8172 0.9253 x1
Li: 0.6012 0.7943 0.4231 x1
Li: 0.6220 0.5173 0.6670 x1
Li: 0.6355 0.0617 0.6606 x1
Li: 0.6418 0.3091 0.9189 x1
Li: 0.6618 0.8861 0.0772 x1
Li: 0.6764 0.6398 0.8410 x1
Li: 0.6807 0.6857 0.3344 x1
Li: 0.6921 0.9139 0.5741 x1
Li: 0.7017 0.4014 0.0876 x1
Li: 0.7150 0.4152 0.5704 x1
Li: 0.7164 0.1513 0.8355 x1
Li: 0.7264 0.1727 0.3412 x1
Li: 0.7464 0.9784 0.7483 x1
Li: 0.7646 0.7279 0.5044 x1
Li: 0.7661 0.2251 0.4880 x1
Li: 0.7720 0.7540 0.9979 x1
Li: 0.7928 0.5064 0.7585 x1
Li: 0.7974 0.2382 0.0057 x1
Li: 0.8230 0.0479 0.9199 x1
Li: 0.8378 0.3228 0.6659 x1
Li: 0.8384 0.7872 0.1514 x1
Li: 0.8404 0.2899 0.1606 x1
Li: 0.8537 0.0395 0.4226 x1
Li: 0.8547 0.5612 0.9218 x1
Li: 0.9028 0.9018 0.8281 x1
Li: 0.9057 0.6289 0.0671 x1
Li: 0.9159 0.1665 0.5763 x1
Li: 0.9226 0.1218 0.0848 x1
Li: 0.9268 0.4035 0.8343 x1
Li: 0.9507 0.8766 0.3413 x1
Li: 0.9549 0.6504 0.5667 x1
Li: 0.9685 0.3951 0.3281 x1
Ti: 0.1013 0.5642 0.1612 x1
Ti: 0.1072 0.3018 0.9141 x1
Ti: 0.1070 0.8270 0.9127 x1
Ti: 0.1201 0.5741 0.6683 x1
Ti: 0.1930 0.8966 0.0794 x1
Ti: 0.1976 0.1507 0.3294 x1
Ti: 0.4301 0.8918 0.8253 x1
Ti: 0.4445 0.1612 0.5811 x1
Ti: 0.4474 0.6364 0.5826 x1
Ti: 0.4488 0.9035 0.3327 x1
Ti: 0.5193 0.4758 0.9967 x1
Ti: 0.5268 0.2296 0.7464 x1
Ti: 0.7760 0.4958 0.2469 x1
Ti: 0.7781 0.9716 0.2487 x1
Ti: 0.8601 0.5690 0.4134 x1
Ti: 0.8607 0.8121 0.6626 x1
N: 0.0081 0.4945 0.2412 x1
N: 0.0097 0.2205 0.4973 x1
N: 0.0493 0.7531 0.9943 x1
N: 0.0878 0.5711 0.4152 x1
N: 0.1029 0.0590 0.9119 x1
N: 0.1031 0.3491 0.6690 x1
N: 0.1108 0.8028 0.1564 x1
N: 0.1755 0.3771 0.8379 x1
N: 0.1895 0.1207 0.0859 x1
N: 0.2148 0.9211 0.3309 x1
N: 0.2163 0.6470 0.5923 x1
N: 0.2706 0.2292 0.2554 x1
N: 0.2731 0.4625 0.9900 x1
N: 0.2749 0.7303 0.7474 x1
N: 0.2910 0.0013 0.5103 x1
N: 0.3243 0.5544 0.1644 x1
N: 0.3364 0.8215 0.9024 x1
N: 0.3389 0.3033 0.4045 x1
N: 0.3769 0.0886 0.6637 x1
N: 0.4188 0.9032 0.0826 x1
N: 0.4335 0.6740 0.3336 x1
N: 0.4409 0.1268 0.8214 x1
N: 0.4461 0.4015 0.5807 x1
N: 0.5072 0.7140 0.5079 x1
N: 0.5275 0.4554 0.7513 x1
N: 0.5292 0.2545 0.9999 x1
N: 0.5459 0.9762 0.2546 x1
N: 0.5936 0.0459 0.4079 x1
N: 0.6008 0.5520 0.9221 x1
N: 0.6152 0.7952 0.6582 x1
N: 0.6209 0.3365 0.1771 x1
N: 0.6506 0.8874 0.8293 x1
N: 0.6627 0.6296 0.0731 x1
N: 0.6659 0.1561 0.5794 x1
N: 0.7136 0.4222 0.3277 x1
N: 0.7526 0.2353 0.7484 x1
N: 0.7624 0.9859 0.0019 x1
N: 0.7737 0.7327 0.2471 x1
N: 0.7769 0.4837 0.4865 x1
N: 0.8392 0.0461 0.1738 x1
N: 0.8580 0.7953 0.4188 x1
N: 0.8880 0.3138 0.9172 x1
N: 0.8881 0.5858 0.6657 x1
N: 0.9356 0.8933 0.5901 x1
N: 0.9497 0.1315 0.3222 x1
N: 0.9501 0.6709 0.8423 x1
N: 0.9554 0.4111 0.0885 x1
N: 0.9963 0.9702 0.7382 x1

Final energy (eV/atom): -5.571
Calculated volume (Å³/atom): 9.70

Here is a relaxed ZrScP crystal from Alexandria. Energies are from GGA-PBE.

Lattice parameters (Å, degrees): 10.1476 3.5680 7.3099 90.00 120.62 90.00
Space group C2/m (No. 12)
One atom of each set of equivalent atoms:
Zr: 0.0811 0.0000 0.3622 x4
Sc: 0.1585 0.5000 0.0590 x4
P: 0.1518 0.5000 0.6819 x4

ΔH_f (0 K) (eV/atom): -0.9447
Calculated volume (Å³/atom): 18.98